A | # La2AlTlIr | Alexandria | GGA-PBE | optimized geometry
data_La2AlTlIr
_cell_length_a 5.573
_cell_length_b 5.573
_cell_length_c 4.838
_cell_angle_alpha 90.00
_cell_angle_beta 90.00
_cell_angle_gamma 90.00
_symmetry_space_group_name_H-M 'P 4/m m m'
_symmetry_Int_Tables_number 123
_symmetry_space_group_name_Hall '-P 4 2'
loop_
_atom_site_label
_atom_site_fract_x
_atom_site_fract_y
_atom_site_fract_z
La1 0.000 0.500 0.000
Al1 0.000 0.000 0.500
Tl1 0.500 0.500 0.500
Ir1 0.000 0.000 0.000
# **Density of states at the Fermi level**: 4.651 states/eV per cell



B | # La2AlTlIr | Alexandria | GGA-PBE | optimized geometry
data_La2AlTlIr
_cell_length_a 7.914
_cell_length_b 4.444
_cell_length_c 7.997
_cell_angle_alpha 90.00
_cell_angle_beta 109.49
_cell_angle_gamma 90.00
_symmetry_space_group_name_H-M 'P 1 21/m 1'
_symmetry_Int_Tables_number 11
loop_
_symmetry_equiv_pos_as_xyz
'x,y,z'
'-x,-y,-z'
'-x,y+1/2,-z'
'x,-y+1/2,z'
loop_
_atom_site_label
_atom_site_fract_x
_atom_site_fract_y
_atom_site_fract_z
La1 0.114 0.250 0.333
La2 0.285 0.250 0.968
Al1 0.440 0.750 0.341
Tl1 0.325 0.750 0.662
Ir1 0.132 0.750 0.104
# **Density of states at the Fermi level**: 4.168 states/eV per cell



Bottom line: B, by a margin of 76 meV per atom.



A | # Li3AlIr | Alexandria | GGA-PBE | optimized geometry
data_Li3AlIr
_cell_length_a 4.413
_cell_length_b 4.413
_cell_length_c 4.413
_cell_angle_alpha 90.00
_cell_angle_beta 90.00
_cell_angle_gamma 90.00
_symmetry_space_group_name_H-M 'P m -3 m'
_symmetry_Int_Tables_number 221
_symmetry_space_group_name_Hall '-P 4 2 3'
loop_
_atom_site_label
_atom_site_fract_x
_atom_site_fract_y
_atom_site_fract_z
Li1 0.000 0.000 0.500
Al1 0.000 0.000 0.000
Ir1 0.500 0.500 0.500
# **Density of states at the Fermi level**: 4.438 states/eV per cell



B | # Li3AlIr | Alexandria | GGA-PBE | optimized geometry
data_Li3AlIr
_cell_length_a 4.605
_cell_length_b 4.605
_cell_length_c 4.605
_cell_angle_alpha 90.00
_cell_angle_beta 90.00
_cell_angle_gamma 90.00
_symmetry_space_group_name_H-M 'P m -3 m'
_symmetry_Int_Tables_number 221
_symmetry_space_group_name_Hall '-P 4 2 3'
loop_
_atom_site_label
_atom_site_fract_x
_atom_site_fract_y
_atom_site_fract_z
Li1 0.000 0.000 0.500
Al1 0.500 0.500 0.500
Ir1 0.000 0.000 0.000
# **Density of states at the Fermi level**: 2.715 states/eV per cell



Bottom line: B, by a margin of 462 meV per atom.



A | # LiAl2Ir2 | Alexandria | GGA-PBE | optimized geometry
data_LiAl2Ir2
_cell_length_a 3.950
_cell_length_b 3.950
_cell_length_c 11.010
_cell_angle_alpha 90.00
_cell_angle_beta 90.00
_cell_angle_gamma 90.00
_symmetry_space_group_name_H-M 'I 4/m m m'
_symmetry_Int_Tables_number 139
_symmetry_space_group_name_Hall '-I 4 2'
loop_
_atom_site_label
_atom_site_fract_x
_atom_site_fract_y
_atom_site_fract_z
Li1 0.000 0.000 0.000
Al1 0.000 0.500 0.250
Ir1 0.000 0.000 0.385
# **Density of states at the Fermi level**: 4.130 states/eV per cell



B | # LiAl2Ir2 | Alexandria | GGA-PBE | optimized geometry
data_LiAl2Ir2
_cell_length_a 7.205
_cell_length_b 7.205
_cell_length_c 2.871
_cell_angle_alpha 90.00
_cell_angle_beta 90.00
_cell_angle_gamma 90.00
_symmetry_space_group_name_H-M 'P 4/m b m'
_symmetry_Int_Tables_number 127
_symmetry_space_group_name_Hall '-P 4 2ab'
loop_
_atom_site_label
_atom_site_fract_x
_atom_site_fract_y
_atom_site_fract_z
Li1 0.000 0.000 0.000
Al1 0.140 0.360 0.000
Ir1 0.156 0.656 0.500
# **Density of states at the Fermi level**: 2.600 states/eV per cell



Bottom line: B, by a margin of 298 meV per atom.



A | # Mg16Al12Ir | Alexandria | GGA-PBE | optimized geometry
data_Mg16Al12Ir
_cell_length_a 14.6038
_cell_length_b 14.6038
_cell_length_c 9.2302
_cell_angle_alpha 90.00
_cell_angle_beta 90.00
_cell_angle_gamma 120.00
_symmetry_space_group_name_H-M 'R 3 m'
_symmetry_Int_Tables_number 160
_symmetry_space_group_name_Hall 'R 3 -2"'
loop_
_atom_site_label
_atom_site_fract_x
_atom_site_fract_y
_atom_site_fract_z
Mg1 0.0000 0.0000 0.0000
Mg2 0.0425 0.3560 0.3824
Mg3 0.0834 0.1667 0.4964
Mg4 0.0964 0.5482 0.5645
Mg5 0.1965 0.3930 0.1375
Al1 0.9996 0.1798 0.1994
Al2 0.1279 0.0640 0.7333
Al3 0.2012 0.4024 0.6238
Ir1 0.0000 0.0000 0.2806
# **Density of states at the Fermi level**: 35.845 states/eV per cell



B | # Mg16Al12Ir | Alexandria | GGA-PBE | optimized geometry
data_Mg16Al12Ir
_cell_length_a 10.454
_cell_length_b 14.641
_cell_length_c 9.022
_cell_angle_alpha 90.00
_cell_angle_beta 124.75
_cell_angle_gamma 90.00
_symmetry_space_group_name_H-M 'C 1 m 1'
_symmetry_Int_Tables_number 8
loop_
_symmetry_equiv_pos_as_xyz
'x,y,z'
'x,-y,z'
'x+1/2,y+1/2,z'
'x+1/2,-y+1/2,z'
loop_
_atom_site_label
_atom_site_fract_x
_atom_site_fract_y
_atom_site_fract_z
Mg1 0.000 0.000 0.000
Mg2 0.016 0.000 0.360
Mg3 0.060 0.347 0.403
Mg4 0.117 0.500 0.672
Mg5 0.161 0.159 0.602
Mg6 0.182 0.175 0.000
Mg7 0.196 0.500 0.301
Mg8 0.305 0.298 0.325
Mg9 0.459 0.121 0.983
Mg10 0.489 0.188 0.694
Al1 0.013 0.191 0.190
Al2 0.185 0.000 0.806
Al3 0.247 0.409 0.026
Al4 0.277 0.092 0.373
Al5 0.322 0.313 0.825
Al6 0.361 0.000 0.173
Al7 0.408 0.406 0.643
Ir1 0.328 0.000 0.648
# **Density of states at the Fermi level**: 22.019 states/eV per cell



Bottom line: B, by a margin of 16 meV per atom.



A | # MgAl4Ir | Alexandria | GGA-PBE | optimized geometry
data_MgAl4Ir
_cell_length_a 5.711
_cell_length_b 6.554
_cell_length_c 6.836
_cell_angle_alpha 118.48
_cell_angle_beta 97.53
_cell_angle_gamma 107.53
_symmetry_space_group_name_H-M 'P -1'
_symmetry_Int_Tables_number 2
loop_
_symmetry_equiv_pos_as_xyz
'x,y,z'
'-x,-y,-z'
loop_
_atom_site_label
_atom_site_fract_x
_atom_site_fract_y
_atom_site_fract_z
Mg1 0.143 0.152 0.430
Al1 0.115 0.820 0.956
Al2 0.218 0.681 0.357
Al3 0.400 0.096 0.784
Al4 0.468 0.348 0.246
Ir1 0.225 0.458 0.925
# **Density of states at the Fermi level**: 4.479 states/eV per cell



B | # MgAl4Ir | Alexandria | GGA-PBE | optimized geometry
data_MgAl4Ir
_cell_length_a 8.095
_cell_length_b 3.920
_cell_length_c 6.683
_cell_angle_alpha 90.00
_cell_angle_beta 90.00
_cell_angle_gamma 90.00
_symmetry_space_group_name_H-M 'P m m a'
_symmetry_Int_Tables_number 51
loop_
_symmetry_equiv_pos_as_xyz
'x,y,z'
'-x,-y,-z'
'-x+1/2,-y,z'
'x+1/2,y,-z'
'x+1/2,-y,-z'
'-x+1/2,y,z'
'-x,y,-z'
'x,-y,z'
loop_
_atom_site_label
_atom_site_fract_x
_atom_site_fract_y
_atom_site_fract_z
Mg1 0.250 0.000 0.098
Al1 0.000 0.000 0.500
Al2 0.060 0.500 0.810
Al3 0.250 0.500 0.438
Ir1 0.250 0.000 0.700
# **Density of states at the Fermi level**: 4.299 states/eV per cell



C | # MgAl4Ir | Alexandria | GGA-PBE | optimized geometry
data_MgAl4Ir
_cell_length_a 7.277
_cell_length_b 7.277
_cell_length_c 7.277
_cell_angle_alpha 90.00
_cell_angle_beta 90.00
_cell_angle_gamma 90.00
_symmetry_space_group_name_H-M 'F -4 3 m'
_symmetry_Int_Tables_number 216
_symmetry_space_group_name_Hall 'F -4 2 3'
loop_
_atom_site_label
_atom_site_fract_x
_atom_site_fract_y
_atom_site_fract_z
Mg1 0.000 0.000 0.000
Al1 0.125 0.125 0.625
Ir1 0.250 0.250 0.250
# **Density of states at the Fermi level**: 16.072 states/eV per cell



Bottom line: B, by a margin of 156 meV per atom.



A | # MgAlIr3 | Alexandria | GGA-PBE | optimized geometry
data_MgAlIr3
_cell_length_a 4.479
_cell_length_b 4.479
_cell_length_c 4.479
_cell_angle_alpha 90.00
_cell_angle_beta 90.00
_cell_angle_gamma 90.00
_symmetry_space_group_name_H-M 'P m -3 m'
_symmetry_Int_Tables_number 221
_symmetry_space_group_name_Hall '-P 4 2 3'
loop_
_atom_site_label
_atom_site_fract_x
_atom_site_fract_y
_atom_site_fract_z
Mg1 0.000 0.000 0.000
Al1 0.500 0.500 0.500
Ir1 0.000 0.500 0.500
# **Density of states at the Fermi level**: 4.496 states/eV per cell



B | # MgAlIr3 | Alexandria | GGA-PBE | optimized geometry
data_MgAlIr3
_cell_length_a 4.457
_cell_length_b 4.457
_cell_length_c 4.457
_cell_angle_alpha 90.00
_cell_angle_beta 90.00
_cell_angle_gamma 90.00
_symmetry_space_group_name_H-M 'P m -3 m'
_symmetry_Int_Tables_number 221
_symmetry_space_group_name_Hall '-P 4 2 3'
loop_
_atom_site_label
_atom_site_fract_x
_atom_site_fract_y
_atom_site_fract_z
Mg1 0.000 0.000 0.000
Al1 0.500 0.500 0.500
Ir1 0.000 0.000 0.500
# **Density of states at the Fermi level**: 3.957 states/eV per cell



Bottom line: A, by a margin of 718 meV per atom.



A | # MgAlSiIr2 | Alexandria | GGA-PBE | optimized geometry
data_MgAlSiIr2
_cell_length_a 4.547
_cell_length_b 4.547
_cell_length_c 4.552
_cell_angle_alpha 90.00
_cell_angle_beta 90.00
_cell_angle_gamma 90.00
_symmetry_space_group_name_H-M 'P 4/m m m'
_symmetry_Int_Tables_number 123
_symmetry_space_group_name_Hall '-P 4 2'
loop_
_atom_site_label
_atom_site_fract_x
_atom_site_fract_y
_atom_site_fract_z
Mg1 0.000 0.000 0.000
Al1 0.500 0.500 0.500
Si1 0.500 0.500 0.000
Ir1 0.000 0.500 0.500
# **Density of states at the Fermi level**: 3.810 states/eV per cell



B | # MgAlSiIr2 | Alexandria | GGA-PBE | optimized geometry
data_MgAlSiIr2
_cell_length_a 4.458
_cell_length_b 4.458
_cell_length_c 4.670
_cell_angle_alpha 90.00
_cell_angle_beta 90.00
_cell_angle_gamma 90.00
_symmetry_space_group_name_H-M 'P 4/m m m'
_symmetry_Int_Tables_number 123
_symmetry_space_group_name_Hall '-P 4 2'
loop_
_atom_site_label
_atom_site_fract_x
_atom_site_fract_y
_atom_site_fract_z
Mg1 0.000 0.000 0.000
Al1 0.500 0.500 0.000
Si1 0.000 0.000 0.500
Ir1 0.000 0.500 0.500
# **Density of states at the Fermi level**: 3.599 states/eV per cell



Bottom line: B, by a margin of 219 meV per atom.



A | # MgAlZnIr | Alexandria | GGA-PBE | optimized geometry
data_MgAlZnIr
_cell_length_a 4.1699
_cell_length_b 4.1699
_cell_length_c 13.6368
_cell_angle_alpha 90.00
_cell_angle_beta 90.00
_cell_angle_gamma 120.00
_symmetry_space_group_name_H-M 'R 3 m'
_symmetry_Int_Tables_number 160
_symmetry_space_group_name_Hall 'R 3 -2"'
loop_
_atom_site_label
_atom_site_fract_x
_atom_site_fract_y
_atom_site_fract_z
Mg1 0.0000 0.0000 0.0000
Al1 0.0000 0.0000 0.8143
Zn1 0.0000 0.0000 0.4188
Ir1 0.0000 0.0000 0.2020
# **Density of states at the Fermi level**: 4.192 states/eV per cell



B | # MgAlZnIr | Alexandria | GGA-PBE | optimized geometry
data_MgAlZnIr
_cell_length_a 6.215
_cell_length_b 6.215
_cell_length_c 6.215
_cell_angle_alpha 90.00
_cell_angle_beta 90.00
_cell_angle_gamma 90.00
_symmetry_space_group_name_H-M 'F -4 3 m'
_symmetry_Int_Tables_number 216
_symmetry_space_group_name_Hall 'F -4 2 3'
loop_
_atom_site_label
_atom_site_fract_x
_atom_site_fract_y
_atom_site_fract_z
Mg1 0.000 0.000 0.000
Al1 0.000 0.000 0.500
Zn1 0.250 0.250 0.250
Ir1 0.250 0.250 0.750
# **Density of states at the Fermi level**: 6.849 states/eV per cell



Bottom line: B, by a margin of 153 meV per atom.